# 1
Na2ScBi2: relaxed, PBE-GGA.

Output
theoretical density	6.0	g cm⁻³
magnetization	0.0	μB/f.u.
final energy	-3.550	eV/atom
energy above the lowest structure with this stoichiometry	0.00	eV per formula unit

Structure (CIF):
```
data_Na2ScBi2
_cell_length_a 8.909
_cell_length_b 8.909
_cell_length_c 3.544
_cell_angle_alpha 90.00
_cell_angle_beta 90.00
_cell_angle_gamma 90.00
_space_group_name_H-M_alt 'P 4/m b m'
_space_group_IT_number 127
_space_group_name_Hall '-P 4 2ab'
loop_
_atom_site_label
_atom_site_type_symbol
_atom_site_fract_x
_atom_site_fract_y
_atom_site_fract_z
Na1 Na 0.118 0.382 0.000
Sc1 Sc 0.000 0.000 0.500
Bi1 Bi 0.183 0.683 0.500
```



# 2
As3HBr: relaxed, PBE-GGA.

Output
theoretical density	3.7	g cm⁻³
magnetization	0.1	μB/f.u.
final energy	-2.097	eV/atom

Structure (CIF):
```
data_As3HBr
_cell_length_a 5.177
_cell_length_b 5.177
_cell_length_c 5.177
_cell_angle_alpha 90.00
_cell_angle_beta 90.00
_cell_angle_gamma 90.00
_space_group_name_H-M_alt 'P m -3 m'
_space_group_IT_number 221
_space_group_name_Hall '-P 4 2 3'
loop_
_atom_site_label
_atom_site_type_symbol
_atom_site_fract_x
_atom_site_fract_y
_atom_site_fract_z
As1 As 0.000 0.000 0.500
H1 H 0.500 0.500 0.500
Br1 Br 0.000 0.000 0.000
```



no.,V (Å³ per atom)
1,28.13
2,27.76